No. 1
Below is an optimized crystal structure of Cs2K8P, with properties calculated at the PBE-GGA level.

```
data_Cs2K8P
_cell_length_a 22.760
_cell_length_b 9.185
_cell_length_c 8.277
_cell_angle_alpha 90.00
_cell_angle_beta 109.66
_cell_angle_gamma 90.00
_space_group_name_H-M_alt 'C 1 2/m 1'
_space_group_IT_number 12
loop_
_space_group_symop_operation_xyz
'x,y,z'
'-x,-y,-z'
'-x,y,-z'
'x,-y,z'
'x+1/2,y+1/2,z'
'-x+1/2,-y+1/2,-z'
'-x+1/2,y+1/2,-z'
'x+1/2,-y+1/2,z'
loop_
_atom_site_label
_atom_site_fract_x
_atom_site_fract_y
_atom_site_fract_z
_atom_site_occupancy
Cs1 0.139 0.000 0.324 1
K1 0.052 0.243 0.823 1
K2 0.136 0.500 0.473 1
K3 0.242 0.500 0.078 1
P1 0.000 0.000 0.000 1
```

Output
As for the energy relative to the elements: -0.045 eV/atom. The spin magnetization comes out at 0.0 μB per cell. As for the volume: 74.067 A^3/atom. For the total energy, the calculation gives -1.4901 eV per atom.

---

No. 2
Below is an optimized crystal structure of CsKPPd2, with properties calculated at the PBE-GGA level.

```
data_CsKPPd2
_cell_length_a 5.448
_cell_length_b 5.448
_cell_length_c 5.908
_cell_angle_alpha 90.00
_cell_angle_beta 90.00
_cell_angle_gamma 90.00
_space_group_name_H-M_alt 'P 4/m m m'
_space_group_IT_number 123
_space_group_name_Hall '-P 4 2'
loop_
_atom_site_label
_atom_site_fract_x
_atom_site_fract_y
_atom_site_fract_z
_atom_site_occupancy
Cs1 0.000 0.000 0.000 1
K1 0.500 0.500 0.500 1
P1 0.500 0.500 0.000 1
Pd1 0.000 0.500 0.500 1
```

Output
As for the energy relative to the elements: 0.997 eV/atom. The spin magnetization comes out at 1.2 μB per cell. As for the volume: 35.063 A^3/atom. For the total energy, the calculation gives -2.5524 eV per atom.

---

No. 3
Below is an optimized crystal structure of CsK2PPd, with properties calculated at the PBE-GGA level.

```
data_CsK2PPd
_cell_length_a 6.348
_cell_length_b 6.348
_cell_length_c 4.620
_cell_angle_alpha 90.00
_cell_angle_beta 90.00
_cell_angle_gamma 90.00
_space_group_name_H-M_alt 'P 4/m m m'
_space_group_IT_number 123
_space_group_name_Hall '-P 4 2'
loop_
_atom_site_label
_atom_site_fract_x
_atom_site_fract_y
_atom_site_fract_z
_atom_site_occupancy
Cs1 0.000 0.000 0.000 1
K1 0.000 0.500 0.500 1
P1 0.500 0.500 0.500 1
Pd1 0.500 0.500 0.000 1
```

Output
As for the energy relative to the elements: -0.148 eV/atom. The spin magnetization comes out at 0.4 μB per cell. As for the volume: 37.236 A^3/atom. For the total energy, the calculation gives -2.8778 eV per atom.

---

Among the records above, which one has the highest energy relative to the elements?
CsKPPd2

---

What did the second record say?
Below is an optimized crystal structure of CsKPPd2, with properties calculated at the PBE-GGA level.

```
data_CsKPPd2
_cell_length_a 5.448
_cell_length_b 5.448
_cell_length_c 5.908
_cell_angle_alpha 90.00
_cell_angle_beta 90.00
_cell_angle_gamma 90.00
_space_group_name_H-M_alt 'P 4/m m m'
_space_group_IT_number 123
_space_group_name_Hall '-P 4 2'
loop_
_atom_site_label
_atom_site_fract_x
_atom_site_fract_y
_atom_site_fract_z
_atom_site_occupancy
Cs1 0.000 0.000 0.000 1
K1 0.500 0.500 0.500 1
P1 0.500 0.500 0.000 1
Pd1 0.000 0.500 0.500 1
```

Output
As for the energy relative to the elements: 0.997 eV/atom. The spin magnetization comes out at 1.2 μB per cell. As for the volume: 35.063 A^3/atom. For the total energy, the calculation gives -2.5524 eV per atom.